This record from Alexandria describes a relaxed GeSOF2 crystal. The functional is PBE.

Properties
volume = 66 Å³/f.u.
D(E_F) = 0.230 states/eV per atom
energy above the most stable polymorph in this dataset = 0 meV per atom
ΔE_f (raw) = -0.71 eV per atom
total magnetic moment = 2.496 μB per cell

Unit cell a=4.2434 b=4.2434 c=3.6818 alpha=90.00 beta=90.00 gamma=90.00
Space group P4/mmm (No. 123)
Unique sites:
Ge1 0.0000 0.0000 0.0000
S1 0.5000 0.5000 0.5000
O1 0.0000 0.0000 0.5000
F1 0.0000 0.5000 0.0000



This record from Alexandria describes a relaxed Cs2HfBiSe4 crystal. The functional is PBE.

Properties
volume = 345 Å³/f.u.
D(E_F) = 0.411 states/eV per atom
ΔE_f (raw) = -0.96 eV per atom
total magnetic moment = 8.477 μB per cell

Unit cell a=7.3925 b=14.6463 c=25.4775 alpha=90.00 beta=90.00 gamma=90.00
Space group Fddd (No. 70, origin choice 2)
Unique sites:
Cs1 0.1250 0.1250 0.3077
Hf1 0.1250 0.1250 0.1250
Bi1 0.1250 0.1250 0.6250
Se1 0.0777 0.2812 0.4333



This record from Alexandria describes a relaxed Cd2HPdRh crystal. The functional is PBE.

Properties
volume = 73 Å³/f.u.
D(E_F) = 0.372 states/eV per atom
energy above the most stable polymorph in this dataset = 123 meV per atom
total magnetic moment = 0.000 μB per cell

Unit cell a=4.5984 b=4.5984 c=3.4504 alpha=90.00 beta=90.00 gamma=90.00
Space group P4/mmm (No. 123)
Unique sites:
Cd1 0.0000 0.5000 0.0000
H1 0.0000 0.0000 0.0000
Pd1 0.0000 0.0000 0.5000
Rh1 0.5000 0.5000 0.5000



This record from Alexandria describes a relaxed NpCrGaOs crystal. The functional is PBE.

Properties
volume = 65 Å³/f.u.
D(E_F) = 1.355 states/eV per atom
energy of formation from the pure elements = 0.155 eV per atom
total magnetic moment = 16.674 μB per cell

Unit cell a=6.3720 b=6.3720 c=6.3720 alpha=90.00 beta=90.00 gamma=90.00
Space group F-43m (No. 216)
Unique sites:
Np1 0.0000 0.0000 0.0000
Cr1 0.2500 0.2500 0.2500
Ga1 0.0000 0.0000 0.5000
Os1 0.2500 0.2500 0.7500



This record from Alexandria describes a relaxed AcPr12Ho5 crystal. The functional is PBE.

Properties
volume = 634 Å³/f.u.
D(E_F) = 1.612 states/eV per atom
energy of formation from the pure elements = 0.026 eV per atom
total magnetic moment = 0.000 μB per cell

Unit cell a=15.5816 b=15.6312 c=5.2043 alpha=90.00 beta=90.00 gamma=90.00
Space group Cmmm (No. 65)
Unique sites:
Ac1 0.0000 0.0000 0.0000
Pr1 0.1634 0.3341 0.5000
Pr2 0.1631 0.5000 0.0000
Pr3 0.1665 0.1691 0.0000
Pr4 0.1700 0.0000 0.5000
Ho1 0.0000 0.1705 0.5000
Ho2 0.0000 0.3332 0.0000
Ho3 0.0000 0.5000 0.5000



This record from Alexandria describes a relaxed EuTlTeI crystal. The functional is PBE.

Properties
volume = 137 Å³/f.u.
D(E_F) = 1.190 states/eV per atom
ΔE_f (raw) = -0.99 eV per atom
total magnetic moment = 28.001 μB per cell

Unit cell a=8.1852 b=8.1852 c=8.1852 alpha=90.00 beta=90.00 gamma=90.00
Space group F-43m (No. 216)
Unique sites:
Eu1 0.0000 0.0000 0.0000
Tl1 0.0000 0.0000 0.5000
Te1 0.2500 0.2500 0.2500
I1 0.2500 0.2500 0.7500



This record from Alexandria describes a relaxed Ba6TlIn2 crystal. The functional is PBE.

Properties
volume = 432 Å³/f.u.
D(E_F) = 1.511 states/eV per atom
energy above the most stable polymorph in this dataset = 0 meV per atom
energy of formation from the pure elements = -0.258 eV per atom
total magnetic moment = 4.603 μB per cell

Unit cell a=11.6861 b=11.7540 c=12.5769 alpha=90.00 beta=90.00 gamma=90.00
Space group Immm (No. 71)
Unique sites:
Ba1 0.0000 0.1912 0.2447
Ba2 0.1947 0.5000 0.3369
Ba3 0.2337 0.3273 0.0000
Tl1 0.0000 0.0000 0.0000
Tl2 0.0000 0.0000 0.5000
In1 0.0000 0.3341 0.5000
In2 0.0000 0.5000 0.1176



This record from Alexandria describes a relaxed KZn3Bi3 crystal. The functional is PBE.

Properties
volume = 229 Å³/f.u.
D(E_F) = 0.257 states/eV per atom
energy above the most stable polymorph in this dataset = 0 meV per atom
energy of formation from the pure elements = -0.048 eV per atom
total magnetic moment = 0.000 μB per cell

Unit cell a=7.4242 b=7.4242 c=28.7560 alpha=90.00 beta=90.00 gamma=120.00
Space group R-3 (No. 148, hexagonal axes)
Unique sites:
K1 0.0000 0.0000 0.1662
Zn1 0.0001 0.3424 0.3581
Bi1 0.0012 0.6777 0.4058



This record from Alexandria describes a relaxed Ac2LaPr4 crystal. The functional is PBE.

Properties
volume = 310 Å³/f.u.
D(E_F) = 1.961 states/eV per atom
energy above the most stable polymorph in this dataset = 515 meV per atom
energy of formation from the pure elements = 0.537 eV per atom
total magnetic moment = 0.000 μB per cell

Unit cell a=5.8198 b=5.8198 c=18.2851 alpha=90.00 beta=90.00 gamma=90.00
Space group I4/mmm (No. 139)
Unique sites:
Ac1 0.0000 0.0000 0.1247
La1 0.0000 0.0000 0.5000
Pr1 0.0000 0.0000 0.3254
Pr2 0.0000 0.5000 0.0000



This record from Alexandria describes a relaxed ZrTl2Co crystal. The functional is PBE.

Properties
volume = 85 Å³/f.u.
D(E_F) = 0.888 states/eV per atom
energy of formation from the pure elements = 0.235 eV per atom
total magnetic moment = 0.008 μB per cell

Unit cell a=11.6639 b=3.3578 c=4.7686 alpha=90.00 beta=114.08 gamma=90.00
Space group Cm (No. 8)
Unique sites:
Zr1 0.0000 0.0000 0.0000
Tl1 0.0946 0.5000 0.5945
Tl2 0.3006 0.5000 0.3015
Co1 0.3249 0.0000 0.8265



This record from Alexandria describes a relaxed CrReSb2 crystal. The functional is PBE.

Properties
volume = 79 Å³/f.u.
D(E_F) = 0.540 states/eV per atom
energy above the most stable polymorph in this dataset = 279 meV per atom
ΔE_f (raw) = 0.50 eV per atom
total magnetic moment = 2.657 μB per cell

Unit cell a=3.2873 b=5.0026 c=4.8831 alpha=90.00 beta=101.89 gamma=90.00
Space group Pm (No. 6)
Unique sites:
Cr1 0.0000 0.0000 0.0000
Re1 0.3940 0.5000 0.8204
Sb1 0.0185 0.5000 0.2540
Sb2 0.4012 0.0000 0.5621



This record from Alexandria describes a relaxed GdHoIn4 crystal. The functional is PBE.

Properties
volume = 153 Å³/f.u.
D(E_F) = 0.870 states/eV per atom
energy of formation from the pure elements = -0.338 eV per atom
total magnetic moment = 29.960 μB per cell

Unit cell a=8.4840 b=8.4840 c=8.4840 alpha=90.00 beta=90.00 gamma=90.00
Space group F-43m (No. 216)
Unique sites:
Gd1 0.0000 0.0000 0.0000
Ho1 0.2500 0.2500 0.7500
In1 0.1250 0.1250 0.3750